VASP calculation (PBE) on an optimized crystal structure of YHg3Se.

Output
DOS(E_F) (states/eV per cell): 4.1
Total moment (μB per formula unit): 0.03
Formation energy without anion corrections (eV per atom): 0.434
Relative energy among the computed polymorphs (meV/atom): 85.3
Total energy (eV for the cell shown): -8.7

CIF file:
```
data_YHg3Se
_cell_length_a 5.817
_cell_length_b 5.817
_cell_length_c 5.817
_cell_angle_alpha 90.00
_cell_angle_beta 90.00
_cell_angle_gamma 90.00
_space_group_name_H-M_alt 'P m -3 m'
_space_group_IT_number 221
_space_group_name_Hall '-P 4 2 3'
loop_
_atom_site_label
_atom_site_type_symbol
_atom_site_fract_x
_atom_site_fract_y
_atom_site_fract_z
Y1 Y 0.000 0.000 0.000
Hg1 Hg 0.000 0.000 0.500
Se1 Se 0.500 0.500 0.500
```

***

VASP calculation (PBE) on an optimized crystal structure of Ac8Co3HI4.

Output
DOS(E_F) (states/eV per cell): 22.2
Total moment (μB per formula unit): 0.00
Total energy (eV for the cell shown): -221.2

CIF file:
```
data_Ac8Co3HI4
_cell_length_a 8.5152
_cell_length_b 8.5152
_cell_length_c 25.8647
_cell_angle_alpha 90.00
_cell_angle_beta 90.00
_cell_angle_gamma 120.00
_space_group_name_H-M_alt 'R -3 m'
_space_group_IT_number 166
_space_group_name_Hall '-R 3 2"'
loop_
_atom_site_label
_atom_site_type_symbol
_atom_site_fract_x
_atom_site_fract_y
_atom_site_fract_z
Ac1 Ac 0.0000 0.0000 0.2262
Ac2 Ac 0.0058 0.5029 0.7729
Co1 Co 0.0000 0.5000 0.5000
H1 H 0.0000 0.0000 0.5000
I1 I 0.0000 0.0000 0.0000
I2 I 0.0000 0.5000 0.0000
```

***

VASP calculation (PBE) on an optimized crystal structure of RbRh2Cl.

Output
DOS(E_F) (states/eV per cell): 16.5
Total moment (μB per formula unit): 0.30
Formation energy without anion corrections (eV per atom): 0.224
Relative energy among the computed polymorphs (meV/atom): 0.0
Total energy (eV for the cell shown): -66.5

CIF file:
```
data_RbRh2Cl
_cell_length_a 5.204
_cell_length_b 5.204
_cell_length_c 15.467
_cell_angle_alpha 90.00
_cell_angle_beta 90.00
_cell_angle_gamma 90.00
_space_group_name_H-M_alt 'I 41/a m d'
_space_group_IT_number 141
loop_
_space_group_symop_operation_xyz
'x,y,z'
'-x,-y,-z'
'-y+1/4,x+3/4,z+1/4'
'y+1/4,-x+3/4,-z+1/4'
'-x+1/2,-y,z+1/2'
'x+1/2,y,-z+1/2'
'y+1/4,-x+1/4,z+3/4'
'-y+1/4,x+1/4,-z+3/4'
'x,-y,-z'
'-x,y,z'
'-y+1/4,-x+1/4,-z+3/4'
'y+1/4,x+1/4,z+3/4'
'-x+1/2,y,-z+1/2'
'x+1/2,-y,z+1/2'
'y+1/4,x+3/4,-z+1/4'
'-y+1/4,-x+3/4,z+1/4'
'x+1/2,y+1/2,z+1/2'
'-x+1/2,-y+1/2,-z+1/2'
'-y+3/4,x+1/4,z+3/4'
'y+3/4,-x+1/4,-z+3/4'
'-x,-y+1/2,z'
'x,y+1/2,-z'
'y+3/4,-x+3/4,z+1/4'
'-y+3/4,x+3/4,-z+1/4'
'x+1/2,-y+1/2,-z+1/2'
'-x+1/2,y+1/2,z+1/2'
'-y+3/4,-x+3/4,-z+1/4'
'y+3/4,x+3/4,z+1/4'
'-x,y+1/2,-z'
'x,-y+1/2,z'
'y+3/4,x+1/4,-z+3/4'
'-y+3/4,-x+1/4,z+3/4'
loop_
_atom_site_label
_atom_site_type_symbol
_atom_site_fract_x
_atom_site_fract_y
_atom_site_fract_z
Rb1 Rb 0.000 0.250 0.375
Rh1 Rh 0.000 0.000 0.000
Cl1 Cl 0.000 0.250 0.875
```

***

VASP calculation (PBE) on an optimized crystal structure of Nb.

Output
DOS(E_F) (states/eV per cell): 13.3
Total moment (μB per formula unit): 0.00
DFT formation energy (meV/atom): 125
Relative energy among the computed polymorphs (meV/atom): 124.7
Total energy (eV for the cell shown): -119.3

CIF file:
```
data_Nb
_cell_length_a 2.902
_cell_length_b 5.290
_cell_length_c 14.561
_cell_angle_alpha 90.00
_cell_angle_beta 90.00
_cell_angle_gamma 90.00
_space_group_name_H-M_alt 'C c c m'
_space_group_IT_number 66
_space_group_name_Hall '-C 2 2c'
loop_
_atom_site_label
_atom_site_type_symbol
_atom_site_fract_x
_atom_site_fract_y
_atom_site_fract_z
Nb1 Nb 0.000 0.000 0.000
Nb2 Nb 0.250 0.250 0.165
```

***

VASP calculation (PBE) on an optimized crystal structure of Sm4Tl2CdAu.

Output
DOS(E_F) (states/eV per cell): 26.4
Total moment (μB per formula unit): 0.90
DFT formation energy (meV/atom): -457
Total energy (eV for the cell shown): -94.4

CIF file:
```
data_Sm4Tl2CdAu
_cell_length_a 5.3938
_cell_length_b 5.3938
_cell_length_c 26.3153
_cell_angle_alpha 90.00
_cell_angle_beta 90.00
_cell_angle_gamma 120.00
_space_group_name_H-M_alt 'R -3 m'
_space_group_IT_number 166
_space_group_name_Hall '-R 3 2"'
loop_
_atom_site_label
_atom_site_type_symbol
_atom_site_fract_x
_atom_site_fract_y
_atom_site_fract_z
Sm1 Sm 0.0000 0.0000 0.1190
Sm2 Sm 0.0000 0.0000 0.3699
Tl1 Tl 0.0000 0.0000 0.2443
Cd1 Cd 0.0000 0.0000 0.5000
Au1 Au 0.0000 0.0000 0.0000
```

***

VASP calculation (PBE) on an optimized crystal structure of Np2PbS4.

Output
DOS(E_F) (states/eV per cell): 39.1
Total moment (μB per formula unit): 8.00
Formation energy without anion corrections (eV per atom): -1.080
Relative energy among the computed polymorphs (meV/atom): 21.8
Total energy (eV for the cell shown): -107.3

CIF file:
```
data_Np2PbS4
_cell_length_a 15.587
_cell_length_b 4.004
_cell_length_c 6.961
_cell_angle_alpha 90.00
_cell_angle_beta 115.70
_cell_angle_gamma 90.00
_space_group_name_H-M_alt 'C 1 2/m 1'
_space_group_IT_number 12
loop_
_space_group_symop_operation_xyz
'x,y,z'
'-x,-y,-z'
'-x,y,-z'
'x,-y,z'
'x+1/2,y+1/2,z'
'-x+1/2,-y+1/2,-z'
'-x+1/2,y+1/2,-z'
'x+1/2,-y+1/2,z'
loop_
_atom_site_label
_atom_site_type_symbol
_atom_site_fract_x
_atom_site_fract_y
_atom_site_fract_z
Np1 Np 0.234 0.000 0.231
Pb1 Pb 0.000 0.500 0.500
S1 S 0.141 0.500 0.957
S2 S 0.150 0.000 0.503
```

***

VASP calculation (PBE) on an optimized crystal structure of Nd3SeCl7.

Output
DOS(E_F) (states/eV per cell): 0.0
Total moment (μB per formula unit): 0.09
Formation energy without anion corrections (eV per atom): -2.166
Total energy (eV for the cell shown): -54.5

CIF file:
```
data_Nd3SeCl7
_cell_length_a 8.4895
_cell_length_b 8.4895
_cell_length_c 6.8205
_cell_angle_alpha 90.00
_cell_angle_beta 90.00
_cell_angle_gamma 120.00
_space_group_name_H-M_alt 'P 3 m 1'
_space_group_IT_number 156
loop_
_space_group_symop_operation_xyz
'x,y,z'
'-y,x-y,z'
'-x+y,-x,z'
'-y,-x,z'
'-x+y,y,z'
'x,x-y,z'
loop_
_atom_site_label
_atom_site_type_symbol
_atom_site_fract_x
_atom_site_fract_y
_atom_site_fract_z
Nd1 Nd 0.1716 0.3431 0.0000
Se1 Se 0.3333 0.6667 0.2345
Cl1 Cl 0.0000 0.0000 0.7762
Cl2 Cl 0.0251 0.5126 0.7807
Cl3 Cl 0.3070 0.1535 0.2006
```

***

VASP calculation (PBE) on an optimized crystal structure of KNa2Tl.

Output
DOS(E_F) (states/eV per cell): 1.7
Total moment (μB per formula unit): 0.00
DFT formation energy (meV/atom): -42
Relative energy among the computed polymorphs (meV/atom): 11.8
Total energy (eV for the cell shown): -6.3

CIF file:
```
data_KNa2Tl
_cell_length_a 4.240
_cell_length_b 4.240
_cell_length_c 8.579
_cell_angle_alpha 90.00
_cell_angle_beta 90.00
_cell_angle_gamma 90.00
_space_group_name_H-M_alt 'P 4/m m m'
_space_group_IT_number 123
_space_group_name_Hall '-P 4 2'
loop_
_atom_site_label
_atom_site_type_symbol
_atom_site_fract_x
_atom_site_fract_y
_atom_site_fract_z
K1 K 0.000 0.000 0.000
Na1 Na 0.500 0.500 0.313
Tl1 Tl 0.000 0.000 0.500
```

***

VASP calculation (PBE) on an optimized crystal structure of NaPuZnF6.

Output
DOS(E_F) (states/eV per cell): 13.4
Total moment (μB per formula unit): 5.00
Formation energy without anion corrections (eV per atom): -2.933
Total energy (eV for the cell shown): -109.1

CIF file:
```
data_NaPuZnF6
_cell_length_a 5.8518
_cell_length_b 5.8518
_cell_length_c 9.2800
_cell_angle_alpha 90.00
_cell_angle_beta 90.00
_cell_angle_gamma 120.00
_space_group_name_H-M_alt 'P -3 1 c'
_space_group_IT_number 163
_space_group_name_Hall '-P 3 2c'
loop_
_atom_site_label
_atom_site_type_symbol
_atom_site_fract_x
_atom_site_fract_y
_atom_site_fract_z
Na1 Na 0.0000 0.0000 0.0000
Pu1 Pu 0.3333 0.6667 0.2500
Zn1 Zn 0.3333 0.6667 0.7500
F1 F 0.0299 0.3653 0.6328
```

***

VASP calculation (PBE) on an optimized crystal structure of AcCeNd2.

Output
DOS(E_F) (states/eV per cell): 9.8
Total moment (μB per formula unit): 0.97
DFT formation energy (meV/atom): 103
Relative energy among the computed polymorphs (meV/atom): 5.5
Total energy (eV for the cell shown): -19.2

CIF file:
```
data_AcCeNd2
_cell_length_a 5.245
_cell_length_b 5.245
_cell_length_c 5.247
_cell_angle_alpha 90.00
_cell_angle_beta 90.00
_cell_angle_gamma 90.00
_space_group_name_H-M_alt 'P 4/m m m'
_space_group_IT_number 123
_space_group_name_Hall '-P 4 2'
loop_
_atom_site_label
_atom_site_type_symbol
_atom_site_fract_x
_atom_site_fract_y
_atom_site_fract_z
Ac1 Ac 0.000 0.000 0.000
Ce1 Ce 0.500 0.500 0.000
Nd1 Nd 0.000 0.500 0.500
```

***

What did the first record say?
VASP calculation (PBE) on an optimized crystal structure of YHg3Se.

Output
DOS(E_F) (states/eV per cell): 4.1
Total moment (μB per formula unit): 0.03
Formation energy without anion corrections (eV per atom): 0.434
Relative energy among the computed polymorphs (meV/atom): 85.3
Total energy (eV for the cell shown): -8.7

CIF file:
```
data_YHg3Se
_cell_length_a 5.817
_cell_length_b 5.817
_cell_length_c 5.817
_cell_angle_alpha 90.00
_cell_angle_beta 90.00
_cell_angle_gamma 90.00
_space_group_name_H-M_alt 'P m -3 m'
_space_group_IT_number 221
_space_group_name_Hall '-P 4 2 3'
loop_
_atom_site_label
_atom_site_type_symbol
_atom_site_fract_x
_atom_site_fract_y
_atom_site_fract_z
Y1 Y 0.000 0.000 0.000
Hg1 Hg 0.000 0.000 0.500
Se1 Se 0.500 0.500 0.500
```

***

total energy of number 8 (KNa2Tl)?
-6.3 eV for the cell shown

***

Which of these has the highest total moment?
Np2PbS4